The following is a DFT calculation (PBE) of a geometry-optimized PaGeO4F structure.

Lattice parameters (Å, degrees): 5.8766 5.8766 6.8966 75.39 75.39 73.42
Positions (direct):
1 O 0.7485 0.7485 0.4530
2 O 0.4855 0.1066 0.1504
3 O 0.4578 0.4578 0.7641
4 O 0.5145 0.8934 0.8496
5 O 0.2515 0.2515 0.5470
6 O 0.5422 0.5422 0.2359
7 O 0.8934 0.5145 0.8496
8 O 0.1066 0.4855 0.1504
9 Pa 0.2231 0.2231 0.8648
10 Pa 0.7769 0.7769 0.1352
11 Ge 0.6520 0.6520 0.7135
12 Ge 0.3480 0.3480 0.2865
13 F 0.0210 0.0210 0.1652
14 F 0.9790 0.9790 0.8348

symmetry: C2/m
calculated volume: 108.3 Å³/f.u.
N(E_F): 0.00 states/eV per atom
ρ: 5.93 g/cm³
spin magnetization: 0.0 μB per formula unit
ΔE_f (raw): -2.792 eV per atom
VASP energy: -110.72 eV for the cell shown

The following is a DFT calculation (PBE) of a geometry-optimized PIrCl2 structure.

Lattice parameters (Å, degrees): 3.9149 3.9149 8.7492 90.00 90.00 129.31
Positions (direct):
1 Ir 0.0000 0.0000 0.5402
2 P 0.5000 0.5000 0.6976
3 Cl 0.0000 0.0000 0.9283
4 Cl 0.5000 0.5000 0.3338

symmetry: Cmm2
polymorph energy (0 for the lowest one): 0.819 eV/atom
calculated volume: 103.8 Å³/f.u.
N(E_F): 0.76 states/eV per atom
ρ: 4.71 g/cm³
spin magnetization: 0.2 μB per formula unit
ΔE_f (raw): 0.157 eV per atom
VASP energy: -17.34 eV for the cell shown

The following is a DFT calculation (PBE) of a geometry-optimized Tl6Te4Pb structure.

Lattice parameters (Å, degrees): 7.2234 11.5056 11.5056 120.00 90.00 90.00
Positions (direct):
1 Te 0.3976 0.8208 0.1792
2 Te 0.3976 0.3584 0.1792
3 Te 0.8976 0.6416 0.8208
4 Te 0.8604 0.6667 0.3333
5 Te 0.3604 0.3333 0.6667
6 Te 0.8976 0.1792 0.3584
7 Te 0.8976 0.1792 0.8208
8 Te 0.3976 0.8208 0.6416
9 Tl 0.1314 0.4797 0.9594
10 Tl 0.1314 0.4797 0.5203
11 Tl 0.4181 0.6873 0.8436
12 Tl 0.1314 0.0406 0.5203
13 Tl 0.4181 0.1564 0.3127
14 Tl 0.6314 0.5203 0.4797
15 Tl 0.6314 0.5203 0.0406
16 Tl 0.9181 0.8436 0.1564
17 Tl 0.9181 0.8436 0.6873
18 Tl 0.6314 0.9594 0.4797
19 Tl 0.9181 0.3127 0.1564
20 Tl 0.4181 0.1564 0.8436
21 Pb 0.2907 0.6667 0.3333
22 Pb 0.7907 0.3333 0.6667

symmetry: P6_3mc
calculated volume: 414.1 Å³/f.u.
ρ: 7.80 g/cm³
spin magnetization: 0.0 μB per formula unit
ΔE_f (raw): -0.284 eV per atom
VASP energy: -67.19 eV for the cell shown

The following is a DFT calculation (PBE) of a geometry-optimized MgTlPb2 structure.

Lattice parameters (Å, degrees): 3.5924 3.5924 8.8423 90.00 90.00 90.00
Positions (direct):
1 Pb 0.5000 0.5000 0.2542
2 Pb 0.0000 0.0000 0.9770
3 Mg 0.5000 0.5000 0.7450
4 Tl 0.0000 0.0000 0.5237

symmetry: P4mm
calculated volume: 114.1 Å³/f.u.
N(E_F): 0.74 states/eV per atom
E_form: -0.008 eV/atom
ρ: 9.36 g/cm³
spin magnetization: 0.0 μB per formula unit
VASP energy: -11.41 eV for the cell shown

The following is a DFT calculation (PBE) of a geometry-optimized La3Pm6Nd2Sm structure.

Lattice parameters (Å, degrees): 6.3834 6.3834 12.1774 95.05 95.05 120.05
Positions (direct):
1 Pm 0.0823 0.4152 0.2476
2 Pm 0.2507 0.2507 0.7523
3 Pm 0.4152 0.0823 0.2476
4 Pm 0.9177 0.5848 0.7524
5 Pm 0.5848 0.9177 0.7524
6 Pm 0.7493 0.7493 0.2477
7 Nd 0.6666 0.3334 0.0000
8 Nd 0.3334 0.6666 0.0000
9 La 0.8331 0.1669 0.5000
10 La 0.1669 0.8331 0.5000
11 La 0.5000 0.5000 0.5000
12 Sm 0.0000 0.0000 0.0000

symmetry: C2/m
calculated volume: 422.8 Å³/f.u.
N(E_F): 1.69 states/eV per atom
E_form: 0.015 eV/atom
ρ: 6.78 g/cm³
spin magnetization: 0.0 μB per formula unit
VASP energy: -57.37 eV for the cell shown

The following is a DFT calculation (PBE) of a geometry-optimized Er6Si2SeS3 structure.

Lattice parameters (Å, degrees): 3.9845 7.9783 8.8890 102.43 102.95 90.00
Positions (direct):
1 Er 0.6672 0.5823 0.3344
2 Er 0.0038 0.2631 0.0077
3 Er 0.6701 0.0928 0.3403
4 Er 0.3328 0.4177 0.6656
5 Er 0.3299 0.9072 0.6597
6 Er 0.9962 0.7369 0.9923
7 S 0.1637 0.8362 0.3274
8 S 0.8363 0.1638 0.6726
9 S 0.5000 0.5000 0.0000
10 Si 0.8334 0.6666 0.6667
11 Si 0.1666 0.3335 0.3333
12 Se 0.5000 0.0000 0.0000

symmetry: C2/m
calculated volume: 268.6 Å³/f.u.
N(E_F): 0.32 states/eV per atom
ρ: 7.63 g/cm³
spin magnetization: 0.0 μB per formula unit
ΔE_f (raw): -1.558 eV per atom
VASP energy: -72.78 eV for the cell shown

The following is a DFT calculation (PBE) of a geometry-optimized TlCo2Ni structure.

Lattice parameters (Å, degrees): 4.2638 4.2638 4.2638 60.00 60.00 60.00
Positions (direct):
1 Co 0.7500 0.7500 0.7500
2 Co 0.2500 0.2500 0.2500
3 Ni 0.0000 0.0000 0.0000
4 Tl 0.5000 0.5000 0.5000

symmetry: Fm-3m
polymorph energy (0 for the lowest one): 0.095 eV/atom
calculated volume: 54.8 Å³/f.u.
N(E_F): 0.81 states/eV per atom
E_form: 0.453 eV/atom
ρ: 11.54 g/cm³
spin magnetization: 3.0 μB per formula unit
VASP energy: -20.55 eV for the cell shown

The following is a DFT calculation (PBE) of a geometry-optimized SrRe2Pt structure.

Lattice parameters (Å, degrees): 4.6485 4.6485 4.6485 60.00 60.00 60.00
Positions (direct):
1 Pt 0.5000 0.5000 0.5000
2 Re 0.7500 0.7500 0.7500
3 Re 0.2500 0.2500 0.2500
4 Sr 0.0000 0.0000 0.0000

symmetry: Fm-3m
polymorph energy (0 for the lowest one): 1.037 eV/atom
calculated volume: 71.0 Å³/f.u.
N(E_F): 2.03 states/eV per atom
E_form: 1.280 eV/atom
ρ: 15.32 g/cm³
spin magnetization: 0.0 μB per formula unit
VASP energy: -27.50 eV for the cell shown

The following is a DFT calculation (PBE) of a geometry-optimized YAsPd3 structure.

Lattice parameters (Å, degrees): 4.7042 4.7042 4.7042 90.00 90.00 90.00
Positions (direct):
1 Pd 0.0000 0.0000 0.5000
2 Pd 0.5000 0.0000 0.0000
3 Pd 0.0000 0.5000 0.0000
4 As 0.0000 0.0000 0.0000
5 Y 0.5000 0.5000 0.5000

symmetry: Pm-3m
polymorph energy (0 for the lowest one): 0.000 eV/atom
calculated volume: 104.1 Å³/f.u.
N(E_F): 0.33 states/eV per atom
E_form: -0.493 eV/atom
ρ: 7.71 g/cm³
spin magnetization: 0.0 μB per formula unit
VASP energy: -29.16 eV for the cell shown

The following is a DFT calculation (PBE) of a geometry-optimized Sc4Cu2N structure.

Lattice parameters (Å, degrees): 4.3514 4.3514 7.2537 72.55 72.55 90.00
Positions (direct):
1 Cu 0.6281 0.6281 0.7437
2 Cu 0.3719 0.3719 0.2563
3 Sc 0.8242 0.8242 0.3517
4 Sc 0.5000 0.0000 0.0000
5 Sc 0.0000 0.5000 0.0000
6 Sc 0.1758 0.1758 0.6483
7 N 0.0000 0.0000 0.0000

symmetry: I4/mmm
calculated volume: 124.4 Å³/f.u.
N(E_F): 1.44 states/eV per atom
ρ: 4.28 g/cm³
spin magnetization: 1.3 μB per formula unit
ΔE_f (raw): -0.562 eV per atom
VASP energy: -45.78 eV for the cell shown

The following is a DFT calculation (PBE) of a geometry-optimized La12NdAl3 structure.

Lattice parameters (Å, degrees): 5.0214 5.0214 20.3676 90.00 90.00 90.00
Positions (direct):
1 La 0.5000 0.5000 0.2592
2 La 0.5000 0.0000 0.1355
3 La 0.5000 0.5000 0.7408
4 La 0.5000 0.0000 0.3785
5 La 0.5000 0.0000 0.6215
6 La 0.0000 0.5000 0.8645
7 La 0.0000 0.5000 0.3785
8 La 0.5000 0.5000 0.0000
9 La 0.0000 0.5000 0.1355
10 La 0.5000 0.5000 0.5000
11 La 0.0000 0.5000 0.6215
12 La 0.5000 0.0000 0.8645
13 Al 0.0000 0.0000 0.7431
14 Al 0.0000 0.0000 0.5000
15 Al 0.0000 0.0000 0.2569
16 Nd 0.0000 0.0000 0.0000

symmetry: P4/mmm
calculated volume: 513.6 Å³/f.u.
N(E_F): 1.39 states/eV per atom
E_form: -0.125 eV/atom
ρ: 6.12 g/cm³
spin magnetization: 0.0 μB per formula unit
VASP energy: -77.13 eV for the cell shown

The following is a DFT calculation (PBE) of a geometry-optimized Tb4Te2CBr structure.

Lattice parameters (Å, degrees): 4.0011 7.3055 7.2867 72.09 90.00 90.00
Positions (direct):
1 Tb 0.5000 0.3058 0.6958
2 Tb 0.0000 0.7077 0.7136
3 Tb 0.5000 0.6942 0.3042
4 Tb 0.0000 0.2923 0.2864
5 Te 0.5000 0.0000 0.5000
6 Te 0.0000 0.0000 0.0000
7 Br 0.5000 0.5000 0.0000
8 C 0.0000 0.5000 0.5000

symmetry: P2/m
calculated volume: 202.7 Å³/f.u.
N(E_F): 0.39 states/eV per atom
ρ: 8.05 g/cm³
spin magnetization: 0.0 μB per formula unit
ΔE_f (raw): -1.037 eV per atom
VASP energy: -43.99 eV for the cell shown